# Ac3Ge9Rh2 GGA-PBE optimized geometry
data_Ac3Ge9Rh2
_chemical_formula_sum 'Ac6 Ge18 Rh4'
_symmetry_space_group_name_H-M 'I m m m'
_symmetry_Int_Tables_number 71
_symmetry_space_group_name_Hall '-I 2 2'
_cell_length_a 4.3825
_cell_length_b 11.1318
_cell_length_c 12.5499
_cell_angle_alpha 90.00
_cell_angle_beta 90.00
_cell_angle_gamma 90.00
loop_
_atom_site_label
_atom_site_type_symbol
_atom_site_fract_x
_atom_site_fract_y
_atom_site_fract_z
_atom_site_occupancy
Ac1 Ac 0.0000 0.0000 0.0000 1
Ac2 Ac 0.0000 0.0000 0.3172 1
Ge1 Ge 0.0000 0.2803 0.1217 1
Ge2 Ge 0.0000 0.3629 0.3388 1
Ge3 Ge 0.0000 0.5000 0.0000 1
Rh1 Rh 0.0000 0.2249 0.5000 1
# Fermi-level density of states (states/eV/atom): 0.519

***

# AcGeRh3 GGA-PBE optimized geometry
data_AcGeRh3
_chemical_formula_sum 'Ac1 Ge1 Rh3'
_symmetry_space_group_name_H-M 'P m -3 m'
_symmetry_Int_Tables_number 221
_symmetry_space_group_name_Hall '-P 4 2 3'
_cell_length_a 4.6736
_cell_length_b 4.6736
_cell_length_c 4.6736
_cell_angle_alpha 90.00
_cell_angle_beta 90.00
_cell_angle_gamma 90.00
loop_
_atom_site_label
_atom_site_type_symbol
_atom_site_fract_x
_atom_site_fract_y
_atom_site_fract_z
_atom_site_occupancy
Ac1 Ac 0.0000 0.0000 0.0000 1
Ge1 Ge 0.5000 0.5000 0.5000 1
Rh1 Rh 0.0000 0.5000 0.5000 1
# Relative energy among the computed polymorphs (meV per atom): 112
# Fermi-level density of states (states/eV/atom): 0.155

***

# Ac3Ge8Rh3 GGA-PBE optimized geometry
data_Ac3Ge8Rh3
_chemical_formula_sum 'Ac6 Ge16 Rh6'
_symmetry_space_group_name_H-M 'I m m m'
_symmetry_Int_Tables_number 71
_symmetry_space_group_name_Hall '-I 2 2'
_cell_length_a 4.3295
_cell_length_b 10.7236
_cell_length_c 13.0175
_cell_angle_alpha 90.00
_cell_angle_beta 90.00
_cell_angle_gamma 90.00
loop_
_atom_site_label
_atom_site_type_symbol
_atom_site_fract_x
_atom_site_fract_y
_atom_site_fract_z
_atom_site_occupancy
Ac1 Ac 0.0000 0.0000 0.0000 1
Ac2 Ac 0.0000 0.0000 0.3167 1
Ge1 Ge 0.0000 0.2931 0.1128 1
Ge2 Ge 0.0000 0.3613 0.3428 1
Rh1 Rh 0.0000 0.2142 0.5000 1
Rh2 Rh 0.0000 0.5000 0.0000 1
# Fermi-level density of states (states/eV/atom): 0.576

***

# Ac3Ge2Rh4 GGA-PBE optimized geometry
data_Ac3Ge2Rh4
_chemical_formula_sum 'Ac6 Ge4 Rh8'
_symmetry_space_group_name_H-M 'C 1 2/m 1'
_symmetry_Int_Tables_number 12
_cell_length_a 11.5396
_cell_length_b 4.3248
_cell_length_c 9.0877
_cell_angle_alpha 90.00
_cell_angle_beta 111.38
_cell_angle_gamma 90.00
loop_
_symmetry_equiv_pos_as_xyz
'x,y,z'
'-x,-y,-z'
'-x,y,-z'
'x,-y,z'
'x+1/2,y+1/2,z'
'-x+1/2,-y+1/2,-z'
'-x+1/2,y+1/2,-z'
'x+1/2,-y+1/2,z'
loop_
_atom_site_label
_atom_site_type_symbol
_atom_site_fract_x
_atom_site_fract_y
_atom_site_fract_z
_atom_site_occupancy
Ac1 Ac 0.0000 0.0000 0.0000 1
Ac2 Ac 0.1325 0.5000 0.6934 1
Ge1 Ge 0.1500 0.5000 0.3052 1
Rh1 Rh 0.1561 0.0000 0.4386 1
Rh2 Rh 0.2166 0.5000 0.0700 1
# Fermi-level density of states (states/eV/atom): 0.501

***

# Ac3Ge2Rh5 GGA-PBE optimized geometry
data_Ac3Ge2Rh5
_chemical_formula_sum 'Ac6 Ge4 Rh10'
_symmetry_space_group_name_H-M 'P 4/m b m'
_symmetry_Int_Tables_number 127
_symmetry_space_group_name_Hall '-P 4 2ab'
_cell_length_a 10.6203
_cell_length_b 10.6203
_cell_length_c 3.8025
_cell_angle_alpha 90.00
_cell_angle_beta 90.00
_cell_angle_gamma 90.00
loop_
_atom_site_label
_atom_site_type_symbol
_atom_site_fract_x
_atom_site_fract_y
_atom_site_fract_z
_atom_site_occupancy
Ac1 Ac 0.0000 0.0000 0.0000 1
Ac2 Ac 0.1761 0.3239 0.0000 1
Ge1 Ge 0.1174 0.6174 0.0000 1
Rh1 Rh 0.0000 0.5000 0.5000 1
Rh2 Rh 0.0704 0.7683 0.5000 1
# Fermi-level density of states (states/eV/atom): 0.424

***

# Ac2Ge4RuRh3 GGA-PBE optimized geometry
data_Ac2Ge4RuRh3
_chemical_formula_sum 'Ac2 Ge4 Ru1 Rh3'
_symmetry_space_group_name_H-M 'P -4 m 2'
_symmetry_Int_Tables_number 115
_cell_length_a 4.4043
_cell_length_b 4.4043
_cell_length_c 10.1605
_cell_angle_alpha 90.00
_cell_angle_beta 90.00
_cell_angle_gamma 90.00
loop_
_symmetry_equiv_pos_as_xyz
'x,y,z'
'y,-x,-z'
'-x,-y,z'
'-y,x,-z'
'-x,y,z'
'-y,-x,-z'
'x,-y,z'
'y,x,-z'
loop_
_atom_site_label
_atom_site_type_symbol
_atom_site_fract_x
_atom_site_fract_y
_atom_site_fract_z
_atom_site_occupancy
Ac1 Ac 0.0000 0.5000 0.2487 1
Ge1 Ge 0.0000 0.0000 0.0000 1
Ge2 Ge 0.0000 0.5000 0.6216 1
Ge3 Ge 0.5000 0.5000 0.0000 1
Ru1 Ru 0.0000 0.0000 0.5000 1
Rh1 Rh 0.0000 0.5000 0.8752 1
Rh2 Rh 0.5000 0.5000 0.5000 1
# Fermi-level density of states (states/eV/atom): 0.487

***

Values of ΔH_f (0 K), in order: -0.47, -0.46, -0.53, -0.76, -0.67, -0.79, all in eV per atom.
Values of calculated total energy, in order: -150.247, -33.067, -157.510, -115.677, -129.980, -65.928, all in eV for the cell shown.